A relaxed structure of LiRuC2. Source: the Alexandria database, functional PBE.

Lattice parameters (Å, degrees): 4.850 4.850 5.794 65.26 65.26 90.00
Positions (direct):
Ru1 0.000 0.000 0.000
Ru2 0.750 0.250 0.500
C1 0.699 0.125 0.250
C2 0.051 0.625 0.250
C3 0.375 0.301 0.750
C4 0.875 0.949 0.750
Li1 0.500 0.500 0.000
Li2 0.250 0.750 0.500

Computed properties:
DFT formation energy	0.861	eV/atom
ρ	3.991	g/cm³